# 1
# MnCrP2

MnCrP2 after structural relaxation (PBE-GGA, the Alexandria database).

Calculated values
total DFT energy (no corrections) = -30.7 eV for the cell shown
ΔE_f = -0.269 eV per atom
total moment = 0.00 Bohr magnetons per cell
crystal system = tetragonal
symmetry = P4/mmm, No. 123

Lattice parameters (Å, degrees): 2.8082 2.8082 5.5994 90.00 90.00 89.95
Last column: nearest neighbours and their distance in Å.
Atoms (fractional coordinates):
Cr 0.5000 0.5000 0.2500  8 P 2.43
Mn 0.5000 0.5000 0.7500  8 P 2.43
P 0.0000 0.0000 0.9997  4 Mn 2.43, 4 Cr 2.43
P 0.0000 0.0000 0.5003  4 Mn 2.43, 4 Cr 2.43


# 2
# MnCrP2

MnCrP2 after structural relaxation (PBE-GGA, the Alexandria database).

Calculated values
total DFT energy (no corrections) = -31.0 eV for the cell shown
ΔE_f = -0.359 eV per atom
total moment = 1.83 Bohr magnetons per cell
crystal system = tetragonal
symmetry = P4mm, No. 99

Lattice parameters (Å, degrees): 3.0482 3.0482 5.0416 90.00 90.00 90.00
Last column: nearest neighbours and their distance in Å.
Atoms (fractional coordinates):
Cr 0.0000 0.0000 0.4528  6 P 2.33-2.60
Mn 0.5000 0.5000 0.8007  5 P 2.32-2.41
P 0.0000 0.0000 0.9685  4 Mn 2.32, 1 Cr 2.44
P 0.5000 0.5000 0.2780  4 Cr 2.33, 1 Mn 2.41


# 3
# Mn3Cr3P2

Mn3Cr3P2 after structural relaxation (PBE-GGA, the Alexandria database).

Calculated values
total DFT energy (no corrections) = -140.4 eV for the cell shown
ΔE_f = -0.376 eV per atom
total moment = 1.97 Bohr magnetons per cell
crystal system = monoclinic
symmetry = C2, No. 5

Lattice parameters (Å, degrees): 6.7500 6.7500 9.0047 48.21 48.21 38.29
Last column: nearest neighbours and their distance in Å.
Atoms (fractional coordinates):
Mn 0.4109 0.9340 0.0497  3 P 2.27-2.37, 1 Mn 2.46, 1 Cr 2.48
Mn 0.0660 0.5891 0.9503  3 P 2.27-2.37, 1 Mn 2.46, 1 Cr 2.48
Mn 0.0204 0.0419 0.6137  4 P 2.26-2.33, 1 Mn 2.46
Mn 0.9581 0.9796 0.3863  4 P 2.26-2.33, 1 Mn 2.46
Mn 0.3618 0.3426 0.6747  4 P 2.25-2.32, 1 Cr 2.42
Mn 0.6574 0.6382 0.3253  4 P 2.25-2.32, 1 Cr 2.42
Cr 0.3331 0.8710 0.8188  3 Cr 2.33-2.61, 2 P 2.34-2.38
Cr 0.1290 0.6669 0.1812  3 Cr 2.33-2.61, 2 P 2.34-2.38
Cr 0.8495 0.3047 0.0264  1 Cr 2.33, 2 P 2.36, 1 Mn 2.48
Cr 0.6953 0.1505 0.9736  1 Cr 2.33, 2 P 2.36, 1 Mn 2.48
Cr 0.9832 0.4593 0.6057  3 P 2.31-2.42, 3 Mn 2.42-2.58, 1 Cr 2.49
Cr 0.5407 0.0168 0.3943  3 P 2.31-2.42, 3 Mn 2.42-2.58, 1 Cr 2.49
P 0.5334 0.5434 0.6665  5 Mn 2.26-2.32, 4 Cr 2.31-2.42
P 0.4566 0.4666 0.3335  5 Mn 2.26-2.32, 4 Cr 2.31-2.42
P 0.7962 0.7915 0.7501  6 Mn 2.25-2.37, 3 Cr 2.36-2.38
P 0.2085 0.2038 0.2499  6 Mn 2.25-2.37, 3 Cr 2.36-2.38